# 1
RbMgMnTe3 | GGA-PBE | relaxed

Cell and atoms, written as CIF:
```
data_RbMgMnTe3
_chemical_formula_sum 'Rb2 Mg2 Mn2 Te6'
_symmetry_space_group_name_H-M 'P 1 21/m 1'
_symmetry_Int_Tables_number 11
_symmetry_space_group_name_Hall '-P 2yb'
_cell_length_a 8.5135
_cell_length_b 4.1820
_cell_length_c 12.6214
_cell_angle_alpha 90.00
_cell_angle_beta 106.88
_cell_angle_gamma 90.00
loop_
_atom_site_label
_atom_site_fract_x
_atom_site_fract_y
_atom_site_fract_z
Rb1 0.0121 0.2500 0.3033
Mg1 0.4977 0.7500 0.3919
Mn1 0.4610 0.2500 0.1169
Te1 0.2843 0.7500 0.5317
Te2 0.2892 0.7500 0.1717
Te3 0.3272 0.2500 0.8854
```

Calculated values
- raw formation energy (meV/atom) = -630


# 2
Mg2MnRe | GGA-PBE | relaxed

Cell and atoms, written as CIF:
```
data_Mg2MnRe
_chemical_formula_sum 'Mg2 Mn1 Re1'
_symmetry_space_group_name_H-M 'P 1 m 1'
_symmetry_Int_Tables_number 6
_symmetry_space_group_name_Hall 'P -2y'
_cell_length_a 2.7660
_cell_length_b 4.2263
_cell_length_c 5.6016
_cell_angle_alpha 90.00
_cell_angle_beta 102.74
_cell_angle_gamma 90.00
loop_
_atom_site_label
_atom_site_fract_x
_atom_site_fract_y
_atom_site_fract_z
Mg1 0.0000 0.0000 0.0000
Mg2 0.3092 0.5000 0.7273
Mn1 0.7653 0.5000 0.2746
Re1 0.5990 0.0000 0.4595
```

Calculated values
- formation enthalpy at 0 K (eV per atom) = 0.26


# 3
Mg2MnRe | GGA-PBE | relaxed

Cell and atoms, written as CIF:
```
data_Mg2MnRe
_chemical_formula_sum 'Mg8 Mn4 Re4'
_symmetry_space_group_name_H-M 'F -4 3 m'
_symmetry_Int_Tables_number 216
_symmetry_space_group_name_Hall 'F -4 2 3'
_cell_length_a 6.1632
_cell_length_b 6.1632
_cell_length_c 6.1632
_cell_angle_alpha 90.00
_cell_angle_beta 90.00
_cell_angle_gamma 90.00
loop_
_atom_site_label
_atom_site_fract_x
_atom_site_fract_y
_atom_site_fract_z
Mg1 0.0000 0.0000 0.0000
Mg2 0.2500 0.2500 0.2500
Mn1 0.2500 0.2500 0.7500
Re1 0.0000 0.0000 0.5000
```

Calculated values
- formation enthalpy at 0 K (eV per atom) = 0.30


# 4
MgMn2Re | GGA-PBE | relaxed

Cell and atoms, written as CIF:
```
data_MgMn2Re
_chemical_formula_sum 'Mg2 Mn4 Re2'
_symmetry_space_group_name_H-M 'I -4 m 2'
_symmetry_Int_Tables_number 119
_symmetry_space_group_name_Hall 'I -4 -2'
_cell_length_a 3.6381
_cell_length_b 3.6381
_cell_length_c 8.2878
_cell_angle_alpha 90.00
_cell_angle_beta 90.00
_cell_angle_gamma 90.00
loop_
_atom_site_label
_atom_site_fract_x
_atom_site_fract_y
_atom_site_fract_z
Mg1 0.0000 0.0000 0.0000
Mn1 0.0000 0.0000 0.5000
Mn2 0.0000 0.5000 0.7500
Re1 0.0000 0.5000 0.2500
```

Calculated values
- formation enthalpy at 0 K (eV per atom) = 0.35


# 5
MgMn2Re | GGA-PBE | relaxed

Cell and atoms, written as CIF:
```
data_MgMn2Re
_chemical_formula_sum 'Mg1 Mn2 Re1'
_symmetry_space_group_name_H-M 'P 4/m m m'
_symmetry_Int_Tables_number 123
_symmetry_space_group_name_Hall '-P 4 2'
_cell_length_a 2.9869
_cell_length_b 2.9869
_cell_length_c 6.1490
_cell_angle_alpha 90.00
_cell_angle_beta 90.00
_cell_angle_gamma 90.00
loop_
_atom_site_label
_atom_site_fract_x
_atom_site_fract_y
_atom_site_fract_z
Mg1 0.0000 0.0000 0.0000
Mn1 0.5000 0.5000 0.2780
Re1 0.0000 0.0000 0.5000
```

Calculated values
- formation enthalpy at 0 K (eV per atom) = 0.22


# 6
Mg2MnRe | GGA-PBE | relaxed

Cell and atoms, written as CIF:
```
data_Mg2MnRe
_chemical_formula_sum 'Mg2 Mn1 Re1'
_symmetry_space_group_name_H-M 'P 4/m m m'
_symmetry_Int_Tables_number 123
_symmetry_space_group_name_Hall '-P 4 2'
_cell_length_a 4.7841
_cell_length_b 4.7841
_cell_length_c 2.8672
_cell_angle_alpha 90.00
_cell_angle_beta 90.00
_cell_angle_gamma 90.00
loop_
_atom_site_label
_atom_site_fract_x
_atom_site_fract_y
_atom_site_fract_z
Mg1 0.0000 0.5000 0.0000
Mn1 0.0000 0.0000 0.5000
Re1 0.5000 0.5000 0.5000
```

Calculated values
- formation enthalpy at 0 K (eV per atom) = 0.53